VASP calculation (GGA-PBE) on LiZrAsBr2 after structural relaxation.

CIF file:
```
data_LiZrAsBr2
_chemical_formula_sum 'Li1 Zr1 As1 Br2'
_symmetry_space_group_name_H-M 'P 1'
_symmetry_Int_Tables_number 1
_cell_length_a 5.424
_cell_length_b 5.424
_cell_length_c 5.229
_cell_angle_alpha 90.00
_cell_angle_beta 90.00
_cell_angle_gamma 90.00
loop_
_symmetry_equiv_pos_as_xyz
'x,y,z'
loop_
_atom_site_label
_atom_site_type_symbol
_atom_site_fract_x
_atom_site_fract_y
_atom_site_fract_z
Li1 Li 0.000 0.000 0.000
Zr1 Zr 0.500 0.500 0.500
As1 As 0.500 0.500 0.000
Br1 Br 0.000 0.500 0.500
Br2 Br 0.500 0.000 0.500
```

Results
- ρ: 3.6 Mg/m³
- VASP energy: -4.345 eV/atom
- E_form (uncorrected): -653.8 meV/atom
- Space-group type: P4/mmm (123)